Entry 1:
A geometry-optimized Zr2InPd structure, computed with GGA-PBE.

## Properties
- calculated volume (Å³/atom) = 21.0
- SG = F-43m
- total energy (eV per atom) = -6.4418
- M_tot (μB per atom) = 0.750

Cell: 4.9170 4.9170 4.9170 Å, 60.02 60.02 60.02°
Fractional positions:
1 Zr 0.7500 0.7500 0.7500
2 Zr 0.0000 0.0000 0.0000
3 In 0.5000 0.5000 0.5000
4 Pd 0.2500 0.2500 0.2500



Entry 2:
A geometry-optimized PmIn structure, computed with GGA-PBE.

## Properties
- calculated volume (Å³/atom) = 32.4
- SG = Fm-3m
- total energy (eV per atom) = -3.8713
- M_tot (μB per atom) = 0.163

Cell: 4.5104 4.5104 4.5104 Å, 60.00 60.00 60.00°
Each line ends with the local moment (μB).
Fractional positions:
1 In 0.0000 0.0000 0.0000  0.07
2 Pm 0.5000 0.5000 0.5000  0.11



Entry 3:
A geometry-optimized PmIn structure, computed with GGA-PBE.

## Properties
- calculated volume (Å³/atom) = 29.3
- SG = P-6m2
- total energy (eV per atom) = -4.0122
- M_tot (μB per atom) = 0.004

Cell: 3.5654 3.5637 5.3256 Å, 90.00 90.00 120.02°
Fractional positions:
1 In 0.6666 0.3331 0.7500
2 Pm 0.3334 0.6669 0.2500



Entry 4:
A geometry-optimized PmIn structure, computed with GGA-PBE.

## Properties
- calculated volume (Å³/atom) = 43.8
- SG = F-43m
- total energy (eV per atom) = -3.1283
- M_tot (μB per atom) = 0.015

Cell: 4.9853 4.9853 4.9853 Å, 60.00 60.00 60.00°
Fractional positions:
1 In 0.0000 0.0000 0.0000
2 Pm 0.2500 0.2500 0.2500



Entry 5:
A geometry-optimized PmPrIn structure, computed with GGA-PBE.

## Properties
- calculated volume (Å³/atom) = 35.7
- SG = F-43m
- total energy (eV per atom) = -4.1982
- M_tot (μB per atom) = 0.280
- offset from the most stable computed form (meV/atom) = 0.0

Cell: 5.3281 5.3281 5.3281 Å, 60.00 60.00 60.00°
Each line ends with the local moment (μB).
Fractional positions:
1 In 0.0000 0.0000 0.0000  -0.01
2 Pm 0.2500 0.2500 0.2500  0.19
3 Pr 0.7500 0.7500 0.7500  0.17



Entry 6:
A geometry-optimized Pm2InPt2 structure, computed with GGA-PBE.

## Properties
- calculated volume (Å³/atom) = 23.6
- SG = P4/mbm
- total energy (eV per atom) = -5.9001
- M_tot (μB per atom) = 0.002

Cell: 7.8700 7.8700 3.8060 Å, 90.00 90.00 90.00°
Fractional positions:
1 Pm 0.3284 0.1716 0.5000
2 Pm 0.8284 0.3284 0.5000
3 Pm 0.1716 0.6716 0.5000
4 Pm 0.6716 0.8284 0.5000
5 In 0.0000 0.0000 0.0000
6 In 0.5000 0.5000 0.0000
7 Pt 0.3705 0.8705 0.0000
8 Pt 0.1295 0.3705 0.0000
9 Pt 0.6295 0.1295 0.0000
10 Pt 0.8705 0.6295 0.0000



Entry 7:
A geometry-optimized Pm3In4Pt4 structure, computed with GGA-PBE.

## Properties
- calculated volume (Å³/atom) = 22.8
- SG = Immm
- total energy (eV per atom) = -5.3521
- M_tot (μB per atom) = 0.000

Cell: 8.9699 8.9699 8.9699 Å, 153.98 127.11 59.87°
Fractional positions:
1 In 0.9729 0.1701 0.8028
2 In 0.0271 0.8299 0.1972
3 In 0.6327 0.8299 0.8028
4 In 0.3673 0.1701 0.1972
5 Pt 0.7011 0.0000 0.7011
6 Pt 0.2329 0.7329 0.5000
7 Pt 0.2989 0.0000 0.2989
8 Pt 0.7671 0.2671 0.5000
9 Pm 0.0000 0.5000 0.5000
10 Pm 0.3862 0.3862 0.0000
11 Pm 0.6138 0.6138 0.0000



Entry 8:
A geometry-optimized PmIn2Pt structure, computed with GGA-PBE.

## Properties
- calculated volume (Å³/atom) = 23.0
- SG = Cmcm
- total energy (eV per atom) = -4.8183
- M_tot (μB per atom) = 0.001

Cell: 5.8363 5.8363 7.5595 Å, 90.00 90.00 134.27°
Fractional positions:
1 Pm 0.9247 0.0753 0.7500
2 Pm 0.0753 0.9247 0.2500
3 In 0.6377 0.3623 0.9499
4 In 0.3623 0.6377 0.0501
5 In 0.3623 0.6377 0.4499
6 In 0.6377 0.3623 0.5501
7 Pt 0.7888 0.2112 0.2500
8 Pt 0.2112 0.7888 0.7500



Entry 9:
A geometry-optimized PmPuIn structure, computed with GGA-PBE.

## Properties
- calculated volume (Å³/atom) = 34.4
- SG = F-43m
- total energy (eV per atom) = -7.0947
- M_tot (μB per atom) = 2.187
- offset from the most stable computed form (meV/atom) = 0.0

Cell: 5.2674 5.2674 5.2674 Å, 60.00 60.00 60.00°
Each line ends with the local moment (μB).
Fractional positions:
1 Pu 0.7500 0.7500 0.7500  5.58
2 Pm 0.2500 0.2500 0.2500  0.25
3 In 0.0000 0.0000 0.0000  -0.05



Entry 10:
A geometry-optimized PmInRe structure, computed with GGA-PBE.

## Properties
- calculated volume (Å³/atom) = 27.5
- SG = F-43m
- total energy (eV per atom) = -5.3447
- M_tot (μB per atom) = 0.334

Cell: 4.8861 4.8861 4.8861 Å, 60.00 60.00 60.00°
Fractional positions:
1 Pm 0.0000 0.0000 0.0000
2 Re 0.7500 0.7500 0.7500
3 In 0.2500 0.2500 0.2500



Entry 11:
A geometry-optimized Pm5InSi2 structure, computed with GGA-PBE.

## Properties
- calculated volume (Å³/atom) = 28.0
- SG = I4/mcm
- total energy (eV per atom) = -5.2220
- M_tot (μB per atom) = 0.004

Cell: 9.1575 9.1575 9.1575 Å, 129.25 129.25 74.61°
Fractional positions:
1 Si 0.1181 0.6181 0.7362
2 Si 0.6181 0.8819 0.5000
3 Si 0.8819 0.3819 0.2638
4 Si 0.3819 0.1181 0.5000
5 Pm 0.0000 0.0000 0.0000
6 Pm 0.9635 0.8136 0.5000
7 Pm 0.5365 0.0365 0.8501
8 Pm 0.6864 0.5365 0.5000
9 Pm 0.4635 0.9635 0.1499
10 Pm 0.1864 0.6864 0.1499
11 Pm 0.3136 0.4635 0.5000
12 Pm 0.0365 0.1864 0.5000
13 Pm 0.5000 0.5000 0.0000
14 Pm 0.8136 0.3136 0.8501
15 In 0.2500 0.2500 0.0000
16 In 0.7500 0.7500 0.0000



Entry 12:
A geometry-optimized Pm2In3Si structure, computed with GGA-PBE.

## Properties
- calculated volume (Å³/atom) = 28.2
- SG = Cmmm
- total energy (eV per atom) = -3.8530
- M_tot (μB per atom) = 0.001

Cell: 5.8199 5.8199 5.7809 Å, 90.00 90.00 120.08°
Fractional positions:
1 Si 0.0000 0.0000 0.5000
2 In 0.0000 0.5000 0.0000
3 In 0.5000 0.0000 0.0000
4 In 0.5000 0.5000 0.0000
5 Pm 0.6665 0.3335 0.5000
6 Pm 0.3335 0.6665 0.5000